VASP calculation (PBE) on ErMgCdPb after structural relaxation.

abc: 4.3546 4.6478 4.8877
angles: 90.00 90.00 90.00
Element x y z (fractional)
Er1 0.0000 0.0000 0.0000
Mg1 0.0000 0.5000 0.5000
Cd1 0.5000 0.0000 0.5000
Pb1 0.5000 0.5000 0.0000

Results
relative energy among the computed polymorphs = 0 meV per atom
uncorrected energy = -3.005 eV per atom
symmetry = Pmmm (47)

---

VASP calculation (PBE) on ErMgCdPb after structural relaxation.

abc: 7.3804 7.3804 7.3804
angles: 90.00 90.00 90.00
Element x y z (fractional)
Er1 0.0000 0.0000 0.0000
Er2 0.0000 0.5000 0.5000
Er3 0.5000 0.0000 0.5000
Er4 0.5000 0.5000 0.0000
Mg1 0.0000 0.0000 0.5000
Mg2 0.0000 0.5000 0.0000
Mg3 0.5000 0.0000 0.0000
Mg4 0.5000 0.5000 0.5000
Cd1 0.2500 0.2500 0.7500
Cd2 0.2500 0.7500 0.2500
Cd3 0.7500 0.2500 0.2500
Cd4 0.7500 0.7500 0.7500
Pb1 0.2500 0.2500 0.2500
Pb2 0.2500 0.7500 0.7500
Pb3 0.7500 0.2500 0.7500
Pb4 0.7500 0.7500 0.2500

Results
relative energy among the computed polymorphs = 113 meV per atom
uncorrected energy = -2.892 eV per atom
symmetry = F-43m (216)

---

VASP calculation (PBE) on ErMgCdPd after structural relaxation.

abc: 6.9329 6.9329 6.9329
angles: 90.00 90.00 90.00
Element x y z (fractional)
Er1 0.0000 0.0000 0.0000
Er2 0.0000 0.5000 0.5000
Er3 0.5000 0.0000 0.5000
Er4 0.5000 0.5000 0.0000
Mg1 0.0000 0.0000 0.5000
Mg2 0.0000 0.5000 0.0000
Mg3 0.5000 0.0000 0.0000
Mg4 0.5000 0.5000 0.5000
Cd1 0.2500 0.2500 0.7500
Cd2 0.2500 0.7500 0.2500
Cd3 0.7500 0.2500 0.2500
Cd4 0.7500 0.7500 0.7500
Pd1 0.2500 0.2500 0.2500
Pd2 0.2500 0.7500 0.7500
Pd3 0.7500 0.2500 0.7500
Pd4 0.7500 0.7500 0.2500

Results
uncorrected energy = -3.568 eV per atom
symmetry = F-43m (216)

---

VASP calculation (PBE) on Er2MgCdPd4 after structural relaxation.

abc: 8.2492 8.2492 8.2492
angles: 33.47 33.47 33.47
Element x y z (fractional)
Er1 0.2483 0.2483 0.2483
Er2 0.7517 0.7517 0.7517
Mg1 0.0000 0.0000 0.0000
Cd1 0.5000 0.5000 0.5000
Pd1 0.1222 0.1222 0.1222
Pd2 0.3720 0.3720 0.3720
Pd3 0.6280 0.6280 0.6280
Pd4 0.8778 0.8778 0.8778

Results
uncorrected energy = -4.845 eV per atom
symmetry = R-3m (166)

---

VASP calculation (PBE) on PmErMgCd after structural relaxation.

abc: 7.5809 7.5809 7.5809
angles: 90.00 90.00 90.00
Element x y z (fractional)
Pm1 0.0000 0.0000 0.0000
Pm2 0.0000 0.5000 0.5000
Pm3 0.5000 0.0000 0.5000
Pm4 0.5000 0.5000 0.0000
Er1 0.0000 0.0000 0.5000
Er2 0.0000 0.5000 0.0000
Er3 0.5000 0.0000 0.0000
Er4 0.5000 0.5000 0.5000
Mg1 0.2500 0.2500 0.2500
Mg2 0.2500 0.7500 0.7500
Mg3 0.7500 0.2500 0.7500
Mg4 0.7500 0.7500 0.2500
Cd1 0.2500 0.2500 0.7500
Cd2 0.2500 0.7500 0.2500
Cd3 0.7500 0.2500 0.2500
Cd4 0.7500 0.7500 0.7500

Results
relative energy among the computed polymorphs = 0 meV per atom
uncorrected energy = -3.155 eV per atom
symmetry = F-43m (216)

---

VASP calculation (PBE) on PmErMgCd after structural relaxation.

abc: 3.7793 3.7793 7.6255
angles: 90.00 90.00 90.00
Element x y z (fractional)
Pm1 0.0000 0.0000 0.0000
Er1 0.0000 0.0000 0.4980
Mg1 0.5000 0.5000 0.7385
Cd1 0.5000 0.5000 0.2642

Results
relative energy among the computed polymorphs = 2 meV per atom
uncorrected energy = -3.152 eV per atom
symmetry = P4mm (99)

---

VASP calculation (PBE) on PrErMgCd after structural relaxation.

abc: 3.7797 3.7797 7.7763
angles: 90.00 90.00 90.00
Element x y z (fractional)
Pr1 0.0000 0.0000 0.0000
Er1 0.0000 0.0000 0.4975
Mg1 0.5000 0.5000 0.7341
Cd1 0.5000 0.5000 0.2712

Results
uncorrected energy = -3.160 eV per atom
symmetry = P4mm (99)

---

VASP calculation (PBE) on PrErMgCd after structural relaxation.

abc: 7.6332 7.6332 7.6332
angles: 90.00 90.00 90.00
Element x y z (fractional)
Pr1 0.0000 0.0000 0.0000
Pr2 0.0000 0.5000 0.5000
Pr3 0.5000 0.0000 0.5000
Pr4 0.5000 0.5000 0.0000
Er1 0.0000 0.0000 0.5000
Er2 0.0000 0.5000 0.0000
Er3 0.5000 0.0000 0.0000
Er4 0.5000 0.5000 0.5000
Mg1 0.2500 0.2500 0.7500
Mg2 0.2500 0.7500 0.2500
Mg3 0.7500 0.2500 0.2500
Mg4 0.7500 0.7500 0.7500
Cd1 0.2500 0.2500 0.2500
Cd2 0.2500 0.7500 0.7500
Cd3 0.7500 0.2500 0.7500
Cd4 0.7500 0.7500 0.2500

Results
uncorrected energy = -3.160 eV per atom
symmetry = F-43m (216)

---

VASP calculation (PBE) on ErPuMgCd after structural relaxation.

abc: 7.5096 7.5096 7.5096
angles: 90.00 90.00 90.00
Element x y z (fractional)
Er1 0.0000 0.0000 0.0000
Er2 0.0000 0.5000 0.5000
Er3 0.5000 0.0000 0.5000
Er4 0.5000 0.5000 0.0000
Pu1 0.0000 0.0000 0.5000
Pu2 0.0000 0.5000 0.0000
Pu3 0.5000 0.0000 0.0000
Pu4 0.5000 0.5000 0.5000
Mg1 0.2500 0.2500 0.7500
Mg2 0.2500 0.7500 0.2500
Mg3 0.7500 0.2500 0.2500
Mg4 0.7500 0.7500 0.7500
Cd1 0.2500 0.2500 0.2500
Cd2 0.2500 0.7500 0.7500
Cd3 0.7500 0.2500 0.7500
Cd4 0.7500 0.7500 0.2500

Results
uncorrected energy = -5.348 eV per atom
symmetry = F-43m (216)

---

VASP calculation (PBE) on ErMgCdRh after structural relaxation.

abc: 6.8503 6.8503 6.8503
angles: 90.00 90.00 90.00
Element x y z (fractional)
Er1 0.0000 0.0000 0.0000
Er2 0.0000 0.5000 0.5000
Er3 0.5000 0.0000 0.5000
Er4 0.5000 0.5000 0.0000
Mg1 0.0000 0.0000 0.5000
Mg2 0.0000 0.5000 0.0000
Mg3 0.5000 0.0000 0.0000
Mg4 0.5000 0.5000 0.5000
Cd1 0.2500 0.2500 0.2500
Cd2 0.2500 0.7500 0.7500
Cd3 0.7500 0.2500 0.7500
Cd4 0.7500 0.7500 0.2500
Rh1 0.2500 0.2500 0.7500
Rh2 0.2500 0.7500 0.2500
Rh3 0.7500 0.2500 0.2500
Rh4 0.7500 0.7500 0.7500

Results
uncorrected energy = -4.027 eV per atom
symmetry = F-43m (216)

---

VASP calculation (PBE) on ErMgCdRu after structural relaxation.

abc: 6.8264 6.8264 6.8264
angles: 90.00 90.00 90.00
Element x y z (fractional)
Er1 0.0000 0.0000 0.0000
Er2 0.0000 0.5000 0.5000
Er3 0.5000 0.0000 0.5000
Er4 0.5000 0.5000 0.0000
Mg1 0.0000 0.0000 0.5000
Mg2 0.0000 0.5000 0.0000
Mg3 0.5000 0.0000 0.0000
Mg4 0.5000 0.5000 0.5000
Cd1 0.2500 0.2500 0.2500
Cd2 0.2500 0.7500 0.7500
Cd3 0.7500 0.2500 0.7500
Cd4 0.7500 0.7500 0.2500
Ru1 0.2500 0.2500 0.7500
Ru2 0.2500 0.7500 0.2500
Ru3 0.7500 0.2500 0.2500
Ru4 0.7500 0.7500 0.7500

Results
uncorrected energy = -4.216 eV per atom
symmetry = F-43m (216)

---

VASP calculation (PBE) on SmErMgCd after structural relaxation.

abc: 7.5638 7.5638 7.5638
angles: 90.00 90.00 90.00
Element x y z (fractional)
Sm1 0.0000 0.0000 0.0000
Sm2 0.0000 0.5000 0.5000
Sm3 0.5000 0.0000 0.5000
Sm4 0.5000 0.5000 0.0000
Er1 0.0000 0.0000 0.5000
Er2 0.0000 0.5000 0.0000
Er3 0.5000 0.0000 0.0000
Er4 0.5000 0.5000 0.5000
Mg1 0.2500 0.2500 0.7500
Mg2 0.2500 0.7500 0.2500
Mg3 0.7500 0.2500 0.2500
Mg4 0.7500 0.7500 0.7500
Cd1 0.2500 0.2500 0.2500
Cd2 0.2500 0.7500 0.7500
Cd3 0.7500 0.2500 0.7500
Cd4 0.7500 0.7500 0.2500

Results
uncorrected energy = -3.146 eV per atom
symmetry = F-43m (216)